Compound: AgPSe2
Source: Alexandria via LeMat-Bulk
Functional: GGA-PBE
Structure: relaxed

Lattice parameters (Å, degrees): 4.500 4.500 7.431 90.00 90.00 133.72
Positions (direct):
1 Ag 0.000 0.000 0.000
2 P 0.000 0.000 0.500
3 Se 0.500 0.500 0.274
4 Se 0.500 0.500 0.726

Properties
Total moment in μB per atom: 0.00
Uncorrected energy in eV per formula unit: -14.10
Density in g/cm³: 4.53